## Pm6Er12Tm (PBE)

Data for crystalline Pm6Er12Tm at its relaxed geometry.

Lattice parameters (Å, degrees): 8.6730 8.6730 8.6730 98.68 98.68 98.68
Closest atoms and distances in Å follow each position.
Fractional positions:
1 Pm 0.9029 0.3432 0.9029  1 Pm 3.07, 1 Tm 3.40
2 Pm 0.9029 0.9029 0.3432  1 Pm 3.07, 1 Tm 3.40
3 Pm 0.3432 0.9029 0.9029  1 Pm 3.07, 1 Tm 3.40
4 Pm 0.0971 0.0971 0.6568  1 Pm 3.07, 1 Tm 3.40
5 Pm 0.0971 0.6568 0.0971  1 Pm 3.07, 1 Tm 3.40
6 Pm 0.6568 0.0971 0.0971  1 Pm 3.07, 1 Tm 3.40
7 Er 0.7568 0.2432 0.5000  6 Er 3.33-3.52, 4 Pm 3.46-3.55
8 Er 0.3547 0.0819 0.3547  6 Er 3.33-3.59, 2 Pm 3.69
9 Er 0.3547 0.3547 0.0819  6 Er 3.33-3.59, 2 Pm 3.69
10 Er 0.9181 0.6453 0.6453  6 Er 3.33-3.59, 2 Pm 3.69
11 Er 0.6453 0.6453 0.9181  6 Er 3.33-3.59, 2 Pm 3.69
12 Er 0.6453 0.9181 0.6453  6 Er 3.33-3.59, 2 Pm 3.69
13 Er 0.5000 0.7568 0.2432  6 Er 3.33-3.52, 4 Pm 3.46-3.55
14 Er 0.2432 0.5000 0.7568  6 Er 3.33-3.52, 4 Pm 3.46-3.55
15 Er 0.2432 0.7568 0.5000  6 Er 3.33-3.52, 4 Pm 3.46-3.55
16 Er 0.5000 0.2432 0.7568  6 Er 3.33-3.52, 4 Pm 3.46-3.55
17 Er 0.7568 0.5000 0.2432  6 Er 3.33-3.52, 4 Pm 3.46-3.55
18 Er 0.0819 0.3547 0.3547  6 Er 3.33-3.59, 2 Pm 3.69
19 Tm 0.0000 0.0000 0.0000  6 Pm 3.40

Results
The density comes out at 8.06 g cm⁻³. Its symmetry is R-3m. The value obtained for the electronic total energy is -4.3997 eV per atom.